# SrSc2Cd2, relaxed, DFT PBE
data_SrSc2Cd2
_space_group_name_H-M_alt 'P 4/m b m'
_space_group_IT_number 127
_space_group_name_Hall '-P 4 2ab'
_cell_length_a 8.759
_cell_length_b 8.759
_cell_length_c 3.511
_cell_angle_alpha 90.00
_cell_angle_beta 90.00
_cell_angle_gamma 90.00
loop_
_atom_site_label
_atom_site_fract_x
_atom_site_fract_y
_atom_site_fract_z
_atom_site_occupancy
Sr1 0.000 0.000 0.000 1
Sc1 0.163 0.337 0.500 1
Cd1 0.131 0.631 0.000 1
# Electronic total energy, eV/atom: -3.2999
# DOS at the Fermi energy, states/eV/atom: 1.332